*A*
The following is a GGA-PBE calculation of a relaxed structure of YScAg4, from Alexandria via LeMat-Bulk.

Properties
Fermi-level density of states ... 4.984 states/eV per cell
Magnetic moment ... 0.000 μB per atom
Crystal system ... monoclinic

Unit cell a=9.810 b=3.657 c=7.347 alpha=90.00 beta=111.68 gamma=90.00
Space group C2/m (No. 12)
Symmetry-distinct sites (fractional):
Y  0.000  0.000  0.000
Sc  0.000  0.000  0.500
Ag  0.167  0.500  0.819
Ag  0.168  0.500  0.345

=====

*B*
The following is a GGA-PBE calculation of a relaxed structure of YScAg4, from Alexandria via LeMat-Bulk.

Properties
Fermi-level density of states ... 6.044 states/eV per cell
Magnetic moment ... 0.000 μB per atom
Crystal system ... monoclinic

Unit cell a=5.184 b=9.146 c=5.167 alpha=90.00 beta=90.24 gamma=90.00
Space group C2/m (No. 12)
Symmetry-distinct sites (fractional):
Y  0.000  0.000  0.000
Sc  0.000  0.500  0.500
Ag  0.000  0.172  0.500
Ag  0.000  0.335  0.000

=====

*C*
The following is a GGA-PBE calculation of a relaxed structure of YScAg4, from Alexandria via LeMat-Bulk.

Properties
Fermi-level density of states ... 11.643 states/eV per cell
Magnetic moment ... 0.000 μB per atom
Crystal system ... cubic

Unit cell a=7.959 b=7.959 c=7.959 alpha=90.00 beta=90.00 gamma=90.00
Space group F-43m (No. 216)
Symmetry-distinct sites (fractional):
Y  0.000  0.000  0.000
Sc  0.250  0.250  0.250
Ag  0.125  0.125  0.625

=====

The most stable structure shown above is *A*; the least stable is *C*.